# 1
As2OsSe: relaxed, PBE.

Cell: 4.5646 4.5646 4.5646 Å, 120.00 120.00 90.00°
Closest atoms and distances in Å follow each position.
Fractional coordinates of all 4 atoms:
Se: 0.7500 0.2500 0.5000  4 Os 2.80, 4 As 2.80
As: 0.2500 0.7500 0.5000  4 Os 2.80, 4 As 2.80
As: 0.0000 0.0000 0.0000  4 As 2.80, 4 Se 2.80
Os: 0.5000 0.5000 0.0000  4 As 2.80, 4 Se 2.80

The calculation puts the formation energy from raw total energies at 0.66 eV per atom. The space-group type is No. 216.


# 2
La2Pm2Pr5: relaxed, PBE.

Cell: 5.2604 8.2800 8.2872 Å, 107.52 108.50 90.00°
Closest atoms and distances in Å follow each position.
Fractional coordinates of all 9 atoms:
Pr: 0.1117 0.6658 0.2235  3 Pm 3.68-3.70, 6 Pr 3.70-3.73, 3 La 3.70-3.72
Pr: 0.8883 0.3342 0.7765  3 Pm 3.68-3.70, 6 Pr 3.70-3.73, 3 La 3.70-3.72
Pr: 0.5565 0.3351 0.1129  3 Pm 3.67-3.71, 7 Pr 3.70-3.73, 2 La 3.71-3.72
Pr: 0.4435 0.6649 0.8871  3 Pm 3.67-3.71, 7 Pr 3.70-3.73, 2 La 3.71-3.72
Pr: 0.0000 0.0000 0.0000  4 La 3.71, 2 Pm 3.71, 6 Pr 3.72
Pm: 0.2226 0.3351 0.4452  7 Pr 3.67-3.71, 2 Pm 3.69, 3 La 3.72
Pm: 0.7774 0.6649 0.5548  7 Pr 3.67-3.71, 2 Pm 3.69, 3 La 3.72
La: 0.3334 0.9998 0.6668  7 Pr 3.70-3.72, 2 La 3.71, 3 Pm 3.72
La: 0.6666 0.0002 0.3332  7 Pr 3.70-3.72, 2 La 3.71, 3 Pm 3.72

The calculation puts the calculated formation energy at 12 meV/atom. The space-group type is No. 12.